Density functional theory data (PBE) for CuHgOs2 after structural relaxation.

a b c (Å): 2.840 2.840 7.703
angles (deg): 90.00 90.00 90.00
Element x y z (fractional)
Cu (0.000, 0.000, 0.481)
Hg (0.500, 0.500, 0.741)
Os (0.000, 0.000, 0.033)
Os (0.500, 0.500, 0.245)

Summary:
- Calculated total energy: -6.357 eV per atom
- Space group: P4mm, No. 99
- Calculated formation energy: 0.357 eV per atom
- Mass density: 17.22 g/cm3